# Ca2Cu2Sn

A geometry-optimized Ca2Cu2Sn structure (GGA-PBE, Alexandria via LeMat-Bulk).

It has space group I4/mmm (No. 139), with a = 3.4949 Å, b = 3.4949 Å, c = 18.9433 Å, α = 90.00°, β = 90.00° and γ = 90.00°. The inequivalent atoms are Ca at (0.0000, 0.0000, 0.1184), Cu at (0.0000, 0.5000, 0.2500) and Sn at (0.0000, 0.0000, 0.5000).

The total energy comes out at -34.66 eV/cell. The formation enthalpy at 0 K comes out at -0.226 eV per atom.